(1)
Here is CsGaAsPb after structural relaxation from the Alexandria database. Energies are from PBE.

Computed properties:
DFT formation energy (meV/atom): -248
Size of the total moment (μB/f.u.): 0.0

Geometry as CIF:
```
data_CsGaAsPb
_cell_length_a 4.5281
_cell_length_b 4.5281
_cell_length_c 14.0872
_cell_angle_alpha 90.00
_cell_angle_beta 90.00
_cell_angle_gamma 90.00
_symmetry_space_group_name_H-M 'P 4/n m m'
_symmetry_Int_Tables_number 129
loop_
_symmetry_equiv_pos_as_xyz
'x,y,z'
'-x,-y,-z'
'-y+1/2,x,z'
'y+1/2,-x,-z'
'-x+1/2,-y+1/2,z'
'x+1/2,y+1/2,-z'
'y,-x+1/2,z'
'-y,x+1/2,-z'
'x+1/2,-y,-z'
'-x+1/2,y,z'
'-y,-x,-z'
'y,x,z'
'-x,y+1/2,-z'
'x,-y+1/2,z'
'y+1/2,x+1/2,-z'
'-y+1/2,-x+1/2,z'
loop_
_atom_site_label
_atom_site_type_symbol
_atom_site_fract_x
_atom_site_fract_y
_atom_site_fract_z
Cs1 Cs 0.2500 0.2500 0.2408
Ga1 Ga 0.2500 0.7500 0.0000
As1 As 0.2500 0.2500 0.9043
Pb1 Pb 0.2500 0.7500 0.5000
```

(2)
Here is Cs2Rb4GaAs2 after structural relaxation from the Alexandria database. Energies are from PBE.

Computed properties:
DFT formation energy (meV/atom): -238
Size of the total moment (μB/f.u.): 0.0

Geometry as CIF:
```
data_Cs2Rb4GaAs2
_cell_length_a 24.2504
_cell_length_b 10.0858
_cell_length_c 5.3088
_cell_angle_alpha 90.00
_cell_angle_beta 91.67
_cell_angle_gamma 90.00
_symmetry_space_group_name_H-M 'C 1 2/m 1'
_symmetry_Int_Tables_number 12
_symmetry_space_group_name_Hall '-C 2y'
loop_
_atom_site_label
_atom_site_type_symbol
_atom_site_fract_x
_atom_site_fract_y
_atom_site_fract_z
Cs1 Cs 0.2403 0.0000 0.9997
Rb1 Rb 0.0942 0.2299 0.4766
Ga1 Ga 0.0000 0.0000 0.0000
As1 As 0.0942 0.0000 0.9765
```

(3)
Here is Cs2RbGa2As2 after structural relaxation from the Alexandria database. Energies are from PBE.

Computed properties:
DFT formation energy (meV/atom): -262
Size of the total moment (μB/f.u.): 0.0

Geometry as CIF:
```
data_Cs2RbGa2As2
_cell_length_a 12.3368
_cell_length_b 4.1576
_cell_length_c 11.0846
_cell_angle_alpha 90.00
_cell_angle_beta 110.81
_cell_angle_gamma 90.00
_symmetry_space_group_name_H-M 'C 1 2/m 1'
_symmetry_Int_Tables_number 12
_symmetry_space_group_name_Hall '-C 2y'
loop_
_atom_site_label
_atom_site_type_symbol
_atom_site_fract_x
_atom_site_fract_y
_atom_site_fract_z
Cs1 Cs 0.0971 0.0000 0.3841
Rb1 Rb 0.0000 0.0000 0.0000
Ga1 Ga 0.1547 0.5000 0.8005
As1 As 0.2412 0.5000 0.2258
```